Entry 1:
The following is a PBE-GGA calculation of an optimized crystal structure of Ce4Se, from Alexandria.

The structure in POSCAR format:
```
Ce4Se
1.0
5.550 0.000 0.000
0.000 5.550 0.000
0.000 0.000 5.550
Ce Se
4 1
Cartesian
0.000 0.000 0.000
0.000 2.775 2.775
2.775 0.000 2.775
2.775 2.775 0.000
2.775 2.775 2.775
```

Its space group is No. 221.

=====

Entry 2:
The following is a PBE-GGA calculation of an optimized crystal structure of ZnTe8, from Alexandria.

The structure in POSCAR format:
```
ZnTe8
1.0
-4.453 4.453 4.165
4.453 -4.453 4.165
4.453 4.453 -4.165
Zn Te
1 8
Cartesian
0.000 0.000 0.000
2.742 0.000 0.000
6.164 0.000 0.000
0.000 2.742 0.000
2.953 2.953 0.000
1.500 -1.500 4.165
-1.500 1.500 4.165
1.500 1.500 4.165
0.000 6.164 0.000
```

Its space group is No. 139.

=====

Entry 3:
The following is a PBE-GGA calculation of an optimized crystal structure of ScRe2I, from Alexandria.

The structure in POSCAR format:
```
ScRe2I
1.0
0.000 3.267 3.267
3.267 0.000 3.267
3.267 3.267 0.000
Sc Re I
1 2 1
Cartesian
0.000 0.000 0.000
1.633 1.633 1.633
4.900 4.900 4.900
3.267 3.267 3.267
```

Its space group is No. 225.

=====

The records above give, respectively, total magnetization values of 3.98, 0.00, 0.00 μB/cell.
The records above give, respectively, ΔE_f (raw) values of -1.322, 1.476, 3.497 eV per formula unit.